Here is an optimized crystal structure of KBaLi from Alexandria. Energies are from PBE.

Unit cell a=5.103 b=5.231 c=12.293 alpha=77.72 beta=90.00 gamma=90.00
Positions (direct):
Li1 0.750 0.465 0.070
Li2 0.250 0.535 0.930
K1 0.750 0.301 0.397
K2 0.250 0.699 0.603
Ba1 0.750 0.079 0.843
Ba2 0.250 0.921 0.157

Computed properties:
polymorph energy (0 for the lowest one): 0 meV/atom
spin magnetization: 0.00 μB per cell